1.
Below is a geometry-optimized TcSb2Se structure, with properties calculated at the PBE level.

a = 6.224 Å, b = 7.865 Å, c = 3.359 Å
α = 90.00°, β = 90.00°, γ = 90.00°
Space group Cmmm (No. 65)
Symmetry-distinct sites (fractional):
Tc1 0.000 0.000 0.000 x2
Sb1 0.250 0.250 0.500 x4
Se1 0.000 0.500 0.000 x2

Results
Magnetic moment   1.1 Bohr magnetons per cell
Formation energy (no corrections)   496 meV/atom



2.
Below is a geometry-optimized Tb8Tm2Hg structure, with properties calculated at the PBE level.

a = 19.182 Å, b = 5.550 Å, c = 6.380 Å
α = 90.00°, β = 94.62°, γ = 90.00°
Space group C2/m (No. 12)
Symmetry-distinct sites (fractional):
Tb1 0.043 0.000 0.263 x4
Tb2 0.079 0.500 0.600 x4
Tb3 0.156 0.000 0.799 x4
Tb4 0.160 0.500 0.120 x4
Tm1 0.241 0.000 0.334 x4
Hg1 0.000 0.500 0.000 x2

Results
Magnetic moment   0.0 Bohr magnetons per cell
DFT formation energy   -0.05 eV/atom



3.
Below is a geometry-optimized Cd2AuSe structure, with properties calculated at the PBE level.

a = 3.116 Å, b = 3.116 Å, c = 8.774 Å
α = 90.00°, β = 90.00°, γ = 90.00°
Space group P4mm (No. 99)
Symmetry-distinct sites (fractional):
Cd1 0.000 0.000 0.000 x1
Cd2 0.500 0.500 0.265 x1
Au1 0.500 0.500 0.780 x1
Se1 0.000 0.000 0.521 x1

Results
Magnetic moment   0.0 Bohr magnetons per cell
Formation energy (no corrections)   116 meV/atom



4.
Below is a geometry-optimized Li3Y2Cu12Pt structure, with properties calculated at the PBE level.

a = 8.7856 Å, b = 8.7856 Å, c = 12.1891 Å
α = 90.00°, β = 90.00°, γ = 120.00°
Space group R-3m (No. 166, hexagonal axes)
Symmetry-distinct sites (fractional):
Li1 0.0000 0.5000 0.0000 x9
Y1 0.0000 0.0000 0.2262 x6
Cu1 0.0122 0.5061 0.2092 x18
Cu2 0.0535 0.5267 0.5975 x18
Pt1 0.0000 0.0000 0.5000 x3

Results
Magnetic moment   0.0 Bohr magnetons per cell
DFT formation energy   0.00 eV/atom



5.
Below is a geometry-optimized Sr3Tb3NdTe8 structure, with properties calculated at the PBE level.

a = 8.9338 Å, b = 8.9338 Å, c = 22.8562 Å
α = 90.00°, β = 90.00°, γ = 120.00°
Space group R-3m (No. 166, hexagonal axes)
Symmetry-distinct sites (fractional):
Sr1 0.0000 0.5000 0.0000 x9
Tb1 0.0000 0.5000 0.5000 x9
Nd1 0.0000 0.0000 0.5000 x3
Te1 0.0000 0.0000 0.2440 x6
Te2 0.0111 0.5055 0.7545 x18

Results
Magnetic moment   0.0 Bohr magnetons per cell
Formation energy (no corrections)   -1527 meV/atom



6.
Below is a geometry-optimized TlAg2Sb2 structure, with properties calculated at the PBE level.

a = 4.809 Å, b = 4.809 Å, c = 11.833 Å
α = 90.00°, β = 90.00°, γ = 90.00°
Space group I4/mmm (No. 139)
Symmetry-distinct sites (fractional):
Tl1 0.000 0.000 0.000 x2
Ag1 0.000 0.500 0.250 x4
Sb1 0.000 0.000 0.380 x4

Results
Magnetic moment   0.0 Bohr magnetons per cell
Energy above the lowest structure with this stoichiometry   0.008 eV per atom
Formation energy (no corrections)   37 meV/atom



no.,ρ (kg/m³),energy (eV/atom)
1,8492,-5.027
2,8879,-4.260
3,9760,-2.032
4,7069,-4.107
5,6006,-4.783
6,8054,-3.226